(1)
InCo3N: relaxed, PBEsol.

Output
SG: No. 221
formation energy (no corrections): -159 meV per atom
N(E_F): 0.655 states/eV/atom

Lattice parameters (Å, degrees): 3.7907 3.7907 3.7907 90.00 90.00 90.00
With the nearest neighbours (Å) after each atom.
Atoms (fractional coordinates):
1 In 0.0000 0.0000 0.0000  12 Co 2.68
2 Co 0.0000 0.5000 0.5000  2 N 1.90
3 Co 0.5000 0.0000 0.5000  2 N 1.90
4 Co 0.5000 0.5000 0.0000  2 N 1.90
5 N 0.5000 0.5000 0.5000  6 Co 1.90

=====

(2)
InCo2PbN: relaxed, PBEsol.

Output
SG: No. 123
formation energy (no corrections): 1554 meV per atom
N(E_F): 1.742 states/eV/atom

Lattice parameters (Å, degrees): 4.7911 4.7911 4.0528 90.00 90.00 90.00
With the nearest neighbours (Å) after each atom.
Atoms (fractional coordinates):
1 In 0.0000 0.0000 0.0000  2 N 2.03
2 Co 0.0000 0.5000 0.0000  2 In 2.40
3 Co 0.5000 0.0000 0.0000  2 In 2.40
4 Pb 0.5000 0.5000 0.5000  8 Co 3.14, 4 N 3.39
5 N 0.0000 0.0000 0.5000  2 In 2.03

=====

(3)
TaInCo2N: relaxed, PBEsol.

Output
SG: No. 123
formation energy (no corrections): 2347 meV per atom
N(E_F): 1.068 states/eV/atom

Lattice parameters (Å, degrees): 4.3629 4.3629 5.5456 90.00 90.00 90.00
With the nearest neighbours (Å) after each atom.
Atoms (fractional coordinates):
1 Ta 0.0000 0.0000 0.0000  4 Co 2.18
2 In 0.0000 0.0000 0.5000  2 Ta 2.77, 4 N 3.09
3 Co 0.0000 0.5000 0.0000  2 Ta 2.18
4 Co 0.5000 0.0000 0.0000  2 Ta 2.18
5 N 0.5000 0.5000 0.5000  4 In 3.09

=====

(4)
Na2SrInCo: relaxed, PBEsol.

Output
SG: No. 123
E_form: 0.947 eV/atom
N(E_F): 1.591 states/eV/atom

Lattice parameters (Å, degrees): 5.5654 5.5654 6.2777 90.00 90.00 90.00
With the nearest neighbours (Å) after each atom.
Atoms (fractional coordinates):
1 Na 0.0000 0.5000 0.0000  2 In 2.78
2 Na 0.5000 0.0000 0.0000  2 In 2.78
3 Sr 0.0000 0.0000 0.5000  2 In 3.14
4 In 0.0000 0.0000 0.0000  4 Na 2.78
5 Co 0.5000 0.5000 0.5000  4 Sr 3.94, 8 Na 4.19

=====

(5)
NaTaInCo2: relaxed, PBEsol.

Output
SG: No. 123
E_form: 1.776 eV/atom
N(E_F): 1.599 states/eV/atom

Lattice parameters (Å, degrees): 4.2796 4.2796 4.5876 90.00 90.00 90.00
With the nearest neighbours (Å) after each atom.
Atoms (fractional coordinates):
1 Na 0.0000 0.0000 0.0000  4 Co 2.14, 2 In 2.29
2 Ta 0.5000 0.5000 0.5000  4 In 3.03, 8 Co 3.14
3 In 0.0000 0.0000 0.5000  2 Na 2.29
4 Co 0.0000 0.5000 0.0000  2 Na 2.14
5 Co 0.5000 0.0000 0.0000  2 Na 2.14

=====

(6)
NdInCo2: relaxed, PBEsol.

Output
SG: No. 51
E_form: -0.218 eV/atom
N(E_F): 1.382 states/eV/atom

Lattice parameters (Å, degrees): 5.0503 3.9735 7.1771 90.00 90.00 90.00
With the nearest neighbours (Å) after each atom.
Atoms (fractional coordinates):
1 Nd 0.2500 0.0000 0.2134  3 Co 2.65-2.92
2 Nd 0.7500 0.0000 0.7866  3 Co 2.65-2.92
3 In 0.2500 0.5000 0.8366  4 Co 2.70-2.73
4 In 0.7500 0.5000 0.1634  4 Co 2.70-2.73
5 Co 0.0000 0.5000 0.5000  6 Co 2.43-2.53
6 Co 0.2500 0.0000 0.5824  4 Co 2.43, 1 Nd 2.65, 2 In 2.70
7 Co 0.5000 0.5000 0.5000  6 Co 2.43-2.53
8 Co 0.7500 0.0000 0.4176  4 Co 2.43, 1 Nd 2.65, 2 In 2.70

=====

(7)
Nd12InCo6: relaxed, PBEsol.

Output
SG: No. 204
E_form: -0.129 eV/atom
N(E_F): 0.782 states/eV/atom

Lattice parameters (Å, degrees): 8.5028 8.5028 8.5028 109.47 109.47 109.47
With the nearest neighbours (Å) after each atom.
Atoms (fractional coordinates):
1 Nd 0.1122 0.8073 0.3050  3 Co 2.71-2.91
2 Nd 0.1927 0.3050 0.4977  3 Co 2.71-2.91
3 Nd 0.1927 0.6950 0.8878  3 Co 2.71-2.91
4 Nd 0.3050 0.1122 0.8073  3 Co 2.71-2.91
5 Nd 0.3050 0.4977 0.1927  3 Co 2.71-2.91
6 Nd 0.4977 0.1927 0.3050  3 Co 2.71-2.91
7 Nd 0.5023 0.8073 0.6950  3 Co 2.71-2.91
8 Nd 0.6950 0.5023 0.8073  3 Co 2.71-2.91
9 Nd 0.6950 0.8878 0.1927  3 Co 2.71-2.91
10 Nd 0.8073 0.3050 0.1122  3 Co 2.71-2.91
11 Nd 0.8073 0.6950 0.5023  3 Co 2.71-2.91
12 Nd 0.8878 0.1927 0.6950  3 Co 2.71-2.91
13 In 0.0000 0.0000 0.0000  12 Nd 3.54
14 Co 0.1116 0.6116 0.5000  1 Co 2.19
15 Co 0.3884 0.5000 0.8884  1 Co 2.19
16 Co 0.5000 0.1116 0.6116  1 Co 2.19
17 Co 0.5000 0.8884 0.3884  1 Co 2.19
18 Co 0.6116 0.5000 0.1116  1 Co 2.19
19 Co 0.8884 0.3884 0.5000  1 Co 2.19

=====

(8)
Nd2In8Co: relaxed, PBEsol.

Output
SG: No. 123
E_form: -0.404 eV/atom
N(E_F): 0.365 states/eV/atom

Lattice parameters (Å, degrees): 4.5580 4.5580 12.1409 90.00 90.00 90.00
With the nearest neighbours (Å) after each atom.
Atoms (fractional coordinates):
1 Nd 0.0000 0.0000 0.1939  12 In 3.22-3.28
2 Nd 0.0000 0.0000 0.8061  12 In 3.22-3.28
3 In 0.0000 0.5000 0.0000  8 In 3.22-3.27, 4 Nd 3.28
4 In 0.0000 0.5000 0.3828  2 Co 2.69, 1 In 2.85
5 In 0.0000 0.5000 0.6172  2 Co 2.69, 1 In 2.85
6 In 0.5000 0.0000 0.0000  8 In 3.22-3.27, 4 Nd 3.28
7 In 0.5000 0.0000 0.3828  2 Co 2.69, 1 In 2.85
8 In 0.5000 0.0000 0.6172  2 Co 2.69, 1 In 2.85
9 In 0.5000 0.5000 0.1932  4 Nd 3.22, 8 In 3.24-3.27
10 In 0.5000 0.5000 0.8068  4 Nd 3.22, 8 In 3.24-3.27
11 Co 0.0000 0.0000 0.5000  8 In 2.69

=====

> Which of these has the highest N(E_F)?

InCo2PbN

=====

> Which of these has the lowest N(E_F)?

Nd2In8Co